(1)
DFT (PBE-GGA) results for a relaxed CeZrBeZn crystal.

- Calculated formation energy: 0.13 eV/f.u.

Unit cell a=4.8013 b=4.8013 c=4.8013 alpha=60.00 beta=60.00 gamma=60.00
Closest atoms and distances in Å follow each position.
Fractional positions:
1 Zr 0.2500 0.2500 0.2500  4 Be 2.94, 4 Zn 2.94
2 Ce 0.7500 0.7500 0.7500  4 Be 2.94, 4 Zn 2.94
3 Be 0.5000 0.5000 0.5000  4 Zr 2.94, 4 Ce 2.94
4 Zn 0.0000 0.0000 0.0000  4 Zr 2.94, 4 Ce 2.94

(2)
DFT (PBE-GGA) results for a relaxed CeZrBe4 crystal.

- Calculated formation energy: 0.23 eV/f.u.

Unit cell a=4.9124 b=4.9124 c=4.9124 alpha=60.00 beta=60.00 gamma=60.00
Closest atoms and distances in Å follow each position.
Fractional positions:
1 Ce 0.2500 0.2500 0.2500  12 Be 2.88, 4 Zr 3.01
2 Be 0.6271 0.1186 0.6271  6 Be 2.41-2.50
3 Be 0.6271 0.6271 0.6271  6 Be 2.41-2.50
4 Be 0.1186 0.6271 0.6271  6 Be 2.41-2.50
5 Be 0.6271 0.6271 0.1186  6 Be 2.41-2.50
6 Zr 0.0000 0.0000 0.0000  12 Be 2.88, 4 Ce 3.01

(3)
DFT (PBE-GGA) results for a relaxed CeZrBe2 crystal.

- Calculated formation energy: 0.24 eV/f.u.

Unit cell a=3.2460 b=3.2460 c=6.6904 alpha=90.00 beta=90.00 gamma=90.00
Closest atoms and distances in Å follow each position.
Fractional positions:
1 Ce 0.5000 0.5000 0.5000  8 Be 3.01, 4 Ce 3.25, 2 Zr 3.35
2 Be 0.0000 0.0000 0.7903  4 Zr 2.69, 1 Be 2.81, 4 Ce 3.01
3 Be 0.0000 0.0000 0.2097  4 Zr 2.69, 1 Be 2.81, 4 Ce 3.01
4 Zr 0.5000 0.5000 0.0000  8 Be 2.69

(4)
DFT (PBE-GGA) results for a relaxed BeCl crystal.

- Offset from the most stable computed form: 690 meV per atom
- Formation energy (no corrections): 0.246 eV/f.u.

Unit cell a=3.1140 b=5.1503 c=10.0354 alpha=90.00 beta=90.00 gamma=90.00
Closest atoms and distances in Å follow each position.
Fractional positions:
1 Be 0.7500 0.9676 0.1365  3 Cl 2.10-2.28
2 Be 0.2500 0.0324 0.8635  3 Cl 2.10-2.28
3 Be 0.7500 0.5324 0.6365  3 Cl 2.10-2.28
4 Be 0.2500 0.4676 0.3635  3 Cl 2.10-2.28
5 Cl 0.7500 0.2383 0.9565  3 Be 2.10-2.28
6 Cl 0.2500 0.7383 0.5435  3 Be 2.10-2.28
7 Cl 0.7500 0.2617 0.4565  3 Be 2.10-2.28
8 Cl 0.2500 0.7617 0.0435  3 Be 2.10-2.28

(5)
DFT (PBE-GGA) results for a relaxed BeCl crystal.

- Offset from the most stable computed form: 138 meV per atom
- Formation energy (no corrections): -0.858 eV/f.u.

Unit cell a=6.7988 b=6.7988 c=8.3322 alpha=57.70 beta=57.70 gamma=26.01
Closest atoms and distances in Å follow each position.
Fractional positions:
1 Be 0.7632 0.7632 0.1112  1 Cl 1.90
2 Be 0.4108 0.4108 0.8828  2 Cl 2.04
3 Be 0.3404 0.3404 0.2183  2 Cl 2.04, 2 Be 2.28
4 Cl 0.8919 0.8919 0.3209  2 Be 2.04
5 Cl 0.0234 0.0234 0.7249  2 Be 2.04
6 Cl 0.7370 0.7370 0.9086  1 Be 1.90

(6)
DFT (PBE-GGA) results for a relaxed Be3Cl crystal.

- Offset from the most stable computed form: 642 meV per atom
- Formation energy (no corrections): 2.796 eV/f.u.

Unit cell a=4.3202 b=4.3202 c=2.9385 alpha=90.00 beta=90.00 gamma=119.06
Closest atoms and distances in Å follow each position.
Fractional positions:
1 Be 0.0000 0.5000 0.5000  2 Be 2.19
2 Be 0.5000 0.0000 0.5000  2 Be 2.19
3 Be 0.5000 0.5000 0.0000  2 Cl 2.19
4 Cl 0.0000 0.0000 0.0000  2 Be 2.19

no.,electronic total energy (Ry/atom)
1,-0.356
2,-0.357
3,-0.399
4,-0.196
5,-0.236
6,-0.188